{
  "formula": "PmPuPdPt",
  "functional": "GGA-PBE",
  "state": "optimized geometry",
  "lattice_angstrom": [[5.028, 0.000, 0.000], [2.514, 4.355, 0.000], [2.514, 1.452, 4.105]],
  "species": ["Pm", "Pd", "Pt", "Pu"],
  "frac_coords": [[0.500, 0.500, 0.500], [0.750, 0.750, 0.750], [0.250, 0.250, 0.250], [0.000, 0.000, 0.000]],
  "total_magnetization_mub_per_cell": 5.780,
  "energy_ev_per_atom": -8.318,
  "relative_energy_mev_per_atom": 66.4,
  "delta_e_f_ev_per_atom": -0.7389
}